No. 1
First-principles (GGA-PBE) data for a relaxed HoErTlAu crystal, as listed in the Alexandria database.

Results
As for the density: 12249 kg/m³. The relative energy among the computed polymorphs comes out at 0.0000 eV per atom. For the total DFT energy (no corrections), the calculation gives -4.303 eV per atom.

Cell lengths 3.6036, 3.6036, 7.6578 Å; angles 90.00, 90.00, 90.00 degrees
Closest atoms and distances in Å follow each position.
Positions (direct):
1 Ho 0.5000 0.5000 0.1267  4 Au 3.11, 4 Tl 3.29
2 Er 0.5000 0.5000 0.5854  4 Au 3.08, 4 Tl 3.28
3 Tl 0.0000 0.0000 0.8556  4 Er 3.28, 4 Ho 3.29, 4 Tl 3.60
4 Au 0.0000 0.0000 0.3603  4 Er 3.08, 4 Ho 3.11



No. 2
First-principles (GGA-PBE) data for a relaxed HoErZnAu crystal, as listed in the Alexandria database.

Results
As for the density: 10907 kg/m³. For the total DFT energy (no corrections), the calculation gives -4.031 eV per atom.

Cell lengths 5.0399, 5.0399, 5.0399 Å; angles 60.00, 60.00, 60.00 degrees
Closest atoms and distances in Å follow each position.
Positions (direct):
1 Zn 0.0000 0.0000 0.0000  4 Er 3.09, 4 Ho 3.09
2 Au 0.5000 0.5000 0.5000  4 Ho 3.09, 4 Er 3.09
3 Ho 0.7500 0.7500 0.7500  4 Zn 3.09, 4 Au 3.09
4 Er 0.2500 0.2500 0.2500  4 Au 3.09, 4 Zn 3.09



No. 3
First-principles (GGA-PBE) data for a relaxed ErAuI crystal, as listed in the Alexandria database.

Results
As for the density: 7570 kg/m³. The formation energy without anion corrections is -2.8 eV per formula unit. For the total DFT energy (no corrections), the calculation gives -4.070 eV per atom.

Cell lengths 3.8108, 4.7779, 12.2196 Å; angles 101.27, 81.10, 90.00 degrees
Closest atoms and distances in Å follow each position.
Positions (direct):
1 Er 0.5631 0.1865 0.3729  6 Au 2.99-3.14, 2 I 3.01-3.02
2 Er 0.4369 0.8135 0.6271  6 Au 2.99-3.14, 2 I 3.01-3.02
3 Au 0.9669 0.2838 0.5675  2 Au 2.87, 6 Er 2.99-3.14
4 Au 0.0331 0.7162 0.4325  2 Au 2.87, 6 Er 2.99-3.14
5 I 0.1610 0.0877 0.1755  2 Er 3.01-3.02
6 I 0.8390 0.9123 0.8245  2 Er 3.01-3.02



No. 4
First-principles (GGA-PBE) data for a relaxed Er2AuI8 crystal, as listed in the Alexandria database.

Results
As for the density: 3963 kg/m³. The formation energy without anion corrections is -9.5 eV per formula unit. For the total DFT energy (no corrections), the calculation gives -3.116 eV per atom.

Cell lengths 10.5625, 9.1519, 9.1519 Å; angles 49.83, 75.06, 75.06 degrees
Closest atoms and distances in Å follow each position.
Positions (direct):
1 Er 0.6881 0.2188 0.2188  4 I 2.79-2.96
2 Er 0.3119 0.7812 0.7812  4 I 2.79-2.96
3 Au 0.0000 0.0000 0.0000  4 I 2.78
4 I 0.1437 0.1521 0.6386  1 Au 2.78, 1 Er 2.96
5 I 0.1437 0.6386 0.1521  1 Au 2.78, 1 Er 2.96
6 I 0.8563 0.8479 0.3614  1 Au 2.78, 1 Er 2.96
7 I 0.2710 0.6222 0.6222  1 Er 2.79
8 I 0.8563 0.3614 0.8479  1 Au 2.78, 1 Er 2.96
9 I 0.4210 0.2090 0.2090  1 Er 2.87
10 I 0.5790 0.7910 0.7910  1 Er 2.87
11 I 0.7290 0.3778 0.3778  1 Er 2.79



No. 5
First-principles (GGA-PBE) data for a relaxed ErAu2I6 crystal, as listed in the Alexandria database.

Results
As for the density: 5159 kg/m³. The formation energy without anion corrections is -5.2 eV per formula unit. For the total DFT energy (no corrections), the calculation gives -2.847 eV per atom.

Cell lengths 7.8389, 10.6245, 10.6245 Å; angles 86.97, 78.80, 78.80 degrees
Closest atoms and distances in Å follow each position.
Positions (direct):
1 Er 0.2500 0.0716 0.9284  6 I 3.02-3.05
2 Er 0.7500 0.9284 0.0716  6 I 3.02-3.05
3 Au 0.2164 0.8116 0.6591  3 I 2.65-2.78
4 Au 0.2836 0.3409 0.1884  3 I 2.65-2.78
5 Au 0.7836 0.1884 0.3409  3 I 2.65-2.78
6 Au 0.7164 0.6591 0.8116  3 I 2.65-2.78
7 I 0.5452 0.6487 0.6212  2 Au 2.65-2.78
8 I 0.9548 0.3788 0.3513  2 Au 2.65-2.78
9 I 0.4548 0.3513 0.3788  2 Au 2.65-2.78
10 I 0.0452 0.6212 0.6487  2 Au 2.65-2.78
11 I 0.8008 0.9339 0.3469  1 Au 2.68
12 I 0.6992 0.6531 0.0661  1 Au 2.68
13 I 0.1992 0.0661 0.6531  1 Au 2.68
14 I 0.3008 0.3469 0.9339  1 Au 2.68
15 I 0.1363 0.8125 0.9852  2 Er 3.02-3.05
16 I 0.3637 0.0148 0.1875  2 Er 3.02-3.05
17 I 0.8637 0.1875 0.0148  2 Er 3.02-3.05
18 I 0.6363 0.9852 0.8125  2 Er 3.02-3.05



No. 6
First-principles (GGA-PBE) data for a relaxed Er2AuI2 crystal, as listed in the Alexandria database.

Results
As for the density: 7655 kg/m³. The formation energy without anion corrections is -5.4 eV per formula unit. For the total DFT energy (no corrections), the calculation gives -4.171 eV per atom.

Cell lengths 4.0627, 4.0627, 12.1465 Å; angles 80.37, 80.37, 60.00 degrees
Closest atoms and distances in Å follow each position.
Positions (direct):
1 Er 0.6181 0.6181 0.1457  3 Au 2.92, 3 I 3.14
2 Er 0.3819 0.3819 0.8543  3 Au 2.92, 3 I 3.14
3 Au 0.0000 0.0000 0.0000  6 Er 2.92
4 I 0.2263 0.2263 0.3210  3 Er 3.14
5 I 0.7737 0.7737 0.6790  3 Er 3.14